Record 1
The following is a DFT calculation (PBE) of a geometry-optimized TmScW2C3 structure.

Geometry as CIF:
```
data_TmScW2C3
_chemical_formula_sum 'Tm2 Sc2 W4 C6'
_space_group_name_H-M_alt 'C 1 m 1'
_space_group_IT_number 8
_space_group_name_Hall 'C -2y'
_cell_length_a 11.372
_cell_length_b 3.247
_cell_length_c 5.561
_cell_angle_alpha 90.00
_cell_angle_beta 110.17
_cell_angle_gamma 90.00
loop_
_atom_site_label
_atom_site_fract_x
_atom_site_fract_y
_atom_site_fract_z
_atom_site_occupancy
Tm1 0.000 0.000 0.000 1
Sc1 0.225 0.000 0.662 1
W1 0.262 0.500 0.153 1
W2 0.456 0.000 0.494 1
C1 0.111 0.500 0.816 1
C2 0.354 0.500 0.566 1
C3 0.360 0.000 0.082 1
```

E_tot in eV per cell: -134.25

Record 2
The following is a DFT calculation (PBE) of a geometry-optimized HoLuHg2 structure.

Geometry as CIF:
```
data_HoLuHg2
_chemical_formula_sum 'Ho4 Lu4 Hg8'
_space_group_name_H-M_alt 'A m a 2'
_space_group_IT_number 40
_space_group_name_Hall 'A 2 -2a'
_cell_length_a 5.361
_cell_length_b 11.808
_cell_length_c 6.340
_cell_angle_alpha 90.00
_cell_angle_beta 90.00
_cell_angle_gamma 90.00
loop_
_atom_site_label
_atom_site_fract_x
_atom_site_fract_y
_atom_site_fract_z
_atom_site_occupancy
Ho1 0.250 0.154 0.000 1
Lu1 0.250 0.418 0.813 1
Hg1 0.250 0.173 0.508 1
Hg2 0.250 0.413 0.294 1
```

E_tot in eV per cell: -43.35

Record 3
The following is a DFT calculation (PBE) of a geometry-optimized NbAlCoNi structure.

Geometry as CIF:
```
data_NbAlCoNi
_chemical_formula_sum 'Nb4 Al4 Co4 Ni4'
_space_group_name_H-M_alt 'F -4 3 m'
_space_group_IT_number 216
_space_group_name_Hall 'F -4 2 3'
_cell_length_a 5.993
_cell_length_b 5.993
_cell_length_c 5.993
_cell_angle_alpha 90.00
_cell_angle_beta 90.00
_cell_angle_gamma 90.00
loop_
_atom_site_label
_atom_site_fract_x
_atom_site_fract_y
_atom_site_fract_z
_atom_site_occupancy
Nb1 0.000 0.000 0.000 1
Al1 0.250 0.250 0.250 1
Co1 0.250 0.250 0.750 1
Ni1 0.000 0.000 0.500 1
```

ΔE to the lowest computed polymorph in meV/atom: 247.3

Record 4
The following is a DFT calculation (PBE) of a geometry-optimized LiTaFeAs structure.

Geometry as CIF:
```
data_LiTaFeAs
_chemical_formula_sum 'Li4 Ta4 Fe4 As4'
_space_group_name_H-M_alt 'F -4 3 m'
_space_group_IT_number 216
_space_group_name_Hall 'F -4 2 3'
_cell_length_a 5.939
_cell_length_b 5.939
_cell_length_c 5.939
_cell_angle_alpha 90.00
_cell_angle_beta 90.00
_cell_angle_gamma 90.00
loop_
_atom_site_label
_atom_site_fract_x
_atom_site_fract_y
_atom_site_fract_z
_atom_site_occupancy
Li1 0.000 0.000 0.000 1
Ta1 0.250 0.250 0.750 1
Fe1 0.000 0.000 0.500 1
As1 0.250 0.250 0.250 1
```

ΔE to the lowest computed polymorph in meV/atom: 0.0

Record 5
The following is a DFT calculation (PBE) of a geometry-optimized ScBeZnFe structure.

Geometry as CIF:
```
data_ScBeZnFe
_chemical_formula_sum 'Sc4 Be4 Zn4 Fe4'
_space_group_name_H-M_alt 'F -4 3 m'
_space_group_IT_number 216
_space_group_name_Hall 'F -4 2 3'
_cell_length_a 5.977
_cell_length_b 5.977
_cell_length_c 5.977
_cell_angle_alpha 90.00
_cell_angle_beta 90.00
_cell_angle_gamma 90.00
loop_
_atom_site_label
_atom_site_fract_x
_atom_site_fract_y
_atom_site_fract_z
_atom_site_occupancy
Sc1 0.000 0.000 0.000 1
Be1 0.000 0.000 0.500 1
Zn1 0.250 0.250 0.250 1
Fe1 0.250 0.250 0.750 1
```

ΔE to the lowest computed polymorph in meV/atom: 103.3

Record 6
The following is a DFT calculation (PBE) of a geometry-optimized SrCuBi structure.

Geometry as CIF:
```
data_SrCuBi
_chemical_formula_sum 'Sr3 Cu3 Bi3'
_space_group_name_H-M_alt 'P -6 2 m'
_space_group_IT_number 189
_space_group_name_Hall 'P -6 -2'
_cell_length_a 7.8121
_cell_length_b 7.8121
_cell_length_c 4.5517
_cell_angle_alpha 90.00
_cell_angle_beta 90.00
_cell_angle_gamma 120.00
loop_
_atom_site_label
_atom_site_fract_x
_atom_site_fract_y
_atom_site_fract_z
_atom_site_occupancy
Sr1 0.0000 0.6132 0.0000 1
Cu1 0.0000 0.0000 0.0000 1
Cu2 0.3333 0.6667 0.5000 1
Bi1 0.0000 0.2801 0.5000 1
```

E_tot in eV per cell: -31.65

Record 7
The following is a DFT calculation (PBE) of a geometry-optimized LaTaCo2Bi2 structure.

Geometry as CIF:
```
data_LaTaCo2Bi2
_chemical_formula_sum 'La2 Ta2 Co4 Bi4'
_space_group_name_H-M_alt 'P m n 21'
_space_group_IT_number 31
_space_group_name_Hall 'P 2ac -2'
_cell_length_a 4.440
_cell_length_b 9.131
_cell_length_c 6.422
_cell_angle_alpha 90.00
_cell_angle_beta 90.00
_cell_angle_gamma 90.00
loop_
_atom_site_label
_atom_site_fract_x
_atom_site_fract_y
_atom_site_fract_z
_atom_site_occupancy
La1 0.000 0.120 0.000 1
Ta1 0.000 0.615 0.981 1
Co1 0.000 0.397 0.723 1
Co2 0.000 0.831 0.772 1
Bi1 0.000 0.149 0.502 1
Bi2 0.000 0.617 0.472 1
```

E_tot in eV per cell: -80.79

Record 8
The following is a DFT calculation (PBE) of a geometry-optimized Lu2ScPt structure.

Geometry as CIF:
```
data_Lu2ScPt
_chemical_formula_sum 'Lu8 Sc4 Pt4'
_space_group_name_H-M_alt 'F -4 3 m'
_space_group_IT_number 216
_space_group_name_Hall 'F -4 2 3'
_cell_length_a 7.034
_cell_length_b 7.034
_cell_length_c 7.034
_cell_angle_alpha 90.00
_cell_angle_beta 90.00
_cell_angle_gamma 90.00
loop_
_atom_site_label
_atom_site_fract_x
_atom_site_fract_y
_atom_site_fract_z
_atom_site_occupancy
Lu1 0.000 0.000 0.000 1
Lu2 0.250 0.250 0.250 1
Sc1 0.250 0.250 0.750 1
Pt1 0.000 0.000 0.500 1
```

E_tot in eV per cell: -91.64